Below is a crystal of Ce4Ga2S5O4 relaxed with PBEsol, with properties calculated at the SCAN level.

The uncorrected formation energy is -2497.9 meV per atom. The calculated volume comes out at 268.6 Å³ per cell.

Lattice parameters (Å, degrees): 3.8373 7.7397 9.4415 101.71 101.72 90.16
Space group P1 (No. 1)
Symmetry-distinct sites (fractional):
Ce 0.0000 0.0000 0.0000
Ce 0.0027 0.4970 0.0083
Ce 0.3586 0.6737 0.7210
Ce 0.3619 0.1844 0.7235
Ga 0.0429 0.2369 0.3633
Ga 0.6846 0.7286 0.3633
S 0.1797 0.5624 0.3616
S 0.5686 0.7964 0.1412
S 0.5696 0.2706 0.1433
S 0.7903 0.3850 0.5843
S 0.7901 0.9072 0.5846
O 0.4289 0.9597 0.8582
O 0.4346 0.4649 0.8686
O 0.9307 0.7113 0.8626
O 0.9326 0.2133 0.8637